VASP calculation (PBEsol) on a geometry-optimized Be2AlTl structure.

## Properties
For the formation energy, the calculation gives 2.50 eV/f.u.

```
data_Be2AlTl
_chemical_formula_sum 'Be4 Al2 Tl2'
_cell_length_a 3.875
_cell_length_b 3.875
_cell_length_c 8.037
_cell_angle_alpha 90.00
_cell_angle_beta 90.00
_cell_angle_gamma 90.00
_symmetry_space_group_name_H-M 'I -4 m 2'
_symmetry_Int_Tables_number 119
_symmetry_space_group_name_Hall 'I -4 -2'
loop_
_atom_site_label
_atom_site_type_symbol
_atom_site_fract_x
_atom_site_fract_y
_atom_site_fract_z
Be1 Be 0.000 0.000 0.000
Be2 Be 0.000 0.500 0.250
Al1 Al 0.000 0.500 0.750
Tl1 Tl 0.000 0.000 0.500
```